No. 1
Al2Si2H4O9: PBEsol geometry, SCAN.

VASP energy: -8.66 eV per atom

CIF file:
```
data_Al2Si2H4O9
_chemical_formula_sum 'Al2 Si2 H4 O9'
_space_group_name_H-M_alt 'P 1'
_space_group_IT_number 1
_cell_length_a 5.168
_cell_length_b 5.168
_cell_length_c 7.323
_cell_angle_alpha 84.15
_cell_angle_beta 75.01
_cell_angle_gamma 60.25
loop_
_space_group_symop_operation_xyz
'x,y,z'
loop_
_atom_site_label
_atom_site_fract_x
_atom_site_fract_y
_atom_site_fract_z
Al1 0.000 0.000 0.000
Al2 0.328 0.328 0.003
Si1 0.541 0.312 0.392
Si2 0.883 0.655 0.390
H1 0.073 0.355 0.743
H2 0.411 0.863 0.154
H3 0.439 0.644 0.741
H4 0.751 0.986 0.742
O1 0.102 0.273 0.867
O2 0.171 0.454 0.488
O3 0.222 0.052 0.156
O4 0.330 0.655 0.873
O5 0.609 0.283 0.165
O6 0.639 0.532 0.465
O7 0.710 0.989 0.489
O8 0.715 0.044 0.873
O9 0.989 0.664 0.164
```


No. 2
Al2Si2H4O9: PBEsol geometry, SCAN.

VASP energy: -8.66 eV per atom

CIF file:
```
data_Al2Si2H4O9
_chemical_formula_sum 'Al2 Si2 H4 O9'
_space_group_name_H-M_alt 'P 1'
_space_group_IT_number 1
_cell_length_a 5.170
_cell_length_b 5.170
_cell_length_c 7.188
_cell_angle_alpha 91.85
_cell_angle_beta 91.85
_cell_angle_gamma 120.08
loop_
_space_group_symop_operation_xyz
'x,y,z'
loop_
_atom_site_label
_atom_site_fract_x
_atom_site_fract_y
_atom_site_fract_z
Al1 0.164 0.836 0.000
Al2 0.836 0.164 0.000
Si1 0.494 0.835 0.616
Si2 0.835 0.494 0.616
H1 0.144 0.530 0.266
H2 0.307 0.307 0.855
H3 0.530 0.144 0.266
H4 0.705 0.705 0.173
O1 0.117 0.117 0.854
O2 0.133 0.513 0.129
O3 0.157 0.631 0.520
O4 0.492 0.872 0.840
O5 0.513 0.133 0.129
O6 0.631 0.157 0.520
O7 0.678 0.678 0.545
O8 0.872 0.492 0.840
O9 0.881 0.881 0.132
```


No. 3
Al2Si2H4O9: PBEsol geometry, SCAN.

VASP energy: -8.66 eV per atom

CIF file:
```
data_Al2Si2H4O9
_chemical_formula_sum 'Al4 Si4 H8 O18'
_space_group_name_H-M_alt 'P 1'
_space_group_IT_number 1
_cell_length_a 5.167
_cell_length_b 5.167
_cell_length_c 14.207
_cell_angle_alpha 90.00
_cell_angle_beta 90.00
_cell_angle_gamma 119.83
loop_
_space_group_symop_operation_xyz
'x,y,z'
loop_
_atom_site_label
_atom_site_fract_x
_atom_site_fract_y
_atom_site_fract_z
Al1 0.019 0.981 0.500
Al2 0.360 0.651 0.499
Al3 0.651 0.360 0.999
Al4 0.981 0.019 0.000
Si1 0.034 0.685 0.693
Si2 0.343 0.348 0.193
Si3 0.348 0.343 0.693
Si4 0.685 0.034 0.193
H1 0.045 0.299 0.366
H2 0.124 0.686 0.080
H3 0.299 0.045 0.866
H4 0.363 0.994 0.369
H5 0.518 0.699 0.908
H6 0.686 0.124 0.580
H7 0.699 0.518 0.408
H8 0.994 0.363 0.869
O1 0.013 0.166 0.241
O2 0.067 0.316 0.434
O3 0.077 0.707 0.579
O4 0.166 0.013 0.741
O5 0.216 0.537 0.743
O6 0.303 0.322 0.580
O7 0.308 0.936 0.435
O8 0.316 0.067 0.934
O9 0.322 0.303 0.080
O10 0.474 0.691 0.225
O11 0.537 0.216 0.243
O12 0.688 0.937 0.575
O13 0.689 0.691 0.933
O14 0.691 0.474 0.725
O15 0.691 0.689 0.433
O16 0.707 0.077 0.079
O17 0.936 0.308 0.935
O18 0.937 0.688 0.075
```


No. 4
AlSi2HO: PBEsol geometry, SCAN.

VASP energy: -7.17 eV per atom

CIF file:
```
data_AlSi2HO
_chemical_formula_sum 'Al1 Si2 H1 O1'
_space_group_name_H-M_alt 'P 1'
_space_group_IT_number 1
_cell_length_a 3.454
_cell_length_b 3.454
_cell_length_c 4.593
_cell_angle_alpha 90.00
_cell_angle_beta 90.00
_cell_angle_gamma 90.00
loop_
_space_group_symop_operation_xyz
'x,y,z'
loop_
_atom_site_label
_atom_site_fract_x
_atom_site_fract_y
_atom_site_fract_z
Al1 0.000 0.000 0.000
Si1 0.000 0.500 0.500
Si2 0.500 0.000 0.500
H1 0.500 0.500 0.500
O1 0.500 0.500 0.000
```


No. 5
Sr2Al3Si3HO13: PBEsol geometry, SCAN.

VASP energy: -11.45 eV per atom

CIF file:
```
data_Sr2Al3Si3HO13
_chemical_formula_sum 'Sr8 Al12 Si12 H4 O52'
_space_group_name_H-M_alt 'P 1'
_space_group_IT_number 1
_cell_length_a 16.442
_cell_length_b 5.592
_cell_length_c 10.212
_cell_angle_alpha 90.00
_cell_angle_beta 90.00
_cell_angle_gamma 90.00
loop_
_space_group_symop_operation_xyz
'x,y,z'
loop_
_atom_site_label
_atom_site_fract_x
_atom_site_fract_y
_atom_site_fract_z
Sr1 0.043 0.250 0.110
Sr2 0.132 0.250 0.441
Sr3 0.368 0.750 0.941
Sr4 0.457 0.750 0.610
Sr5 0.543 0.250 0.390
Sr6 0.632 0.250 0.059
Sr7 0.868 0.750 0.559
Sr8 0.957 0.750 0.890
Al1 0.110 0.250 0.797
Al2 0.247 0.504 0.189
Al3 0.247 0.996 0.189
Al4 0.253 0.004 0.689
Al5 0.253 0.496 0.689
Al6 0.390 0.750 0.297
Al7 0.610 0.250 0.703
Al8 0.747 0.504 0.311
Al9 0.747 0.996 0.311
Al10 0.753 0.004 0.811
Al11 0.753 0.496 0.811
Al12 0.890 0.750 0.203
Si1 0.087 0.750 0.608
Si2 0.088 0.750 0.283
Si3 0.163 0.750 0.931
Si4 0.337 0.250 0.431
Si5 0.412 0.250 0.783
Si6 0.413 0.250 0.108
Si7 0.587 0.750 0.892
Si8 0.588 0.750 0.217
Si9 0.663 0.750 0.569
Si10 0.837 0.250 0.069
Si11 0.912 0.250 0.717
Si12 0.913 0.250 0.392
H1 0.230 0.250 0.977
H2 0.270 0.750 0.477
H3 0.730 0.250 0.523
H4 0.770 0.750 0.023
O1 0.001 0.250 0.785
O2 0.003 0.250 0.338
O3 0.087 0.750 0.446
O4 0.105 0.513 0.923
O5 0.105 0.987 0.923
O6 0.135 0.001 0.651
O7 0.135 0.499 0.651
O8 0.138 0.512 0.240
O9 0.138 0.988 0.240
O10 0.223 0.250 0.800
O11 0.226 0.750 0.060
O12 0.231 0.250 0.075
O13 0.232 0.750 0.811
O14 0.268 0.250 0.311
O15 0.269 0.750 0.575
O16 0.274 0.250 0.560
O17 0.277 0.750 0.300
O18 0.362 0.012 0.740
O19 0.362 0.488 0.740
O20 0.365 0.501 0.151
O21 0.365 0.999 0.151
O22 0.395 0.013 0.423
O23 0.395 0.487 0.423
O24 0.413 0.250 0.946
O25 0.497 0.750 0.838
O26 0.499 0.750 0.285
O27 0.501 0.250 0.715
O28 0.503 0.250 0.162
O29 0.587 0.750 0.054
O30 0.605 0.513 0.577
O31 0.605 0.987 0.577
O32 0.635 0.001 0.849
O33 0.635 0.499 0.849
O34 0.638 0.512 0.260
O35 0.638 0.988 0.260
O36 0.723 0.250 0.700
O37 0.726 0.750 0.440
O38 0.731 0.250 0.425
O39 0.732 0.750 0.689
O40 0.768 0.250 0.189
O41 0.769 0.750 0.925
O42 0.774 0.250 0.940
O43 0.777 0.750 0.200
O44 0.862 0.012 0.760
O45 0.862 0.488 0.760
O46 0.865 0.501 0.349
O47 0.865 0.999 0.349
O48 0.895 0.013 0.077
O49 0.895 0.487 0.077
O50 0.913 0.250 0.554
O51 0.997 0.750 0.662
O52 0.999 0.750 0.215
```


No. 6
AlPH2: PBEsol geometry, SCAN.

VASP energy: -5.82 eV per atom

CIF file:
```
data_AlPH2
_chemical_formula_sum 'Al2 P2 H4'
_space_group_name_H-M_alt 'P 1'
_space_group_IT_number 1
_cell_length_a 7.035
_cell_length_b 7.035
_cell_length_c 7.035
_cell_angle_alpha 151.68
_cell_angle_beta 151.68
_cell_angle_gamma 40.49
loop_
_space_group_symop_operation_xyz
'x,y,z'
loop_
_atom_site_label
_atom_site_fract_x
_atom_site_fract_y
_atom_site_fract_z
Al1 0.000 0.000 0.000
Al2 0.750 0.250 0.500
P1 0.250 0.750 0.500
P2 0.500 0.500 0.000
H1 0.118 0.625 0.993
H2 0.375 0.368 0.493
H3 0.632 0.125 0.007
H4 0.875 0.882 0.507
```


No. 7
AlP3H: PBEsol geometry, SCAN.

VASP energy: -7.71 eV per atom

CIF file:
```
data_AlP3H
_chemical_formula_sum 'Al1 P3 H1'
_space_group_name_H-M_alt 'P 1'
_space_group_IT_number 1
_cell_length_a 3.950
_cell_length_b 3.950
_cell_length_c 3.950
_cell_angle_alpha 90.00
_cell_angle_beta 90.00
_cell_angle_gamma 90.00
loop_
_space_group_symop_operation_xyz
'x,y,z'
loop_
_atom_site_label
_atom_site_fract_x
_atom_site_fract_y
_atom_site_fract_z
Al1 0.000 0.000 0.000
P1 0.000 0.500 0.500
P2 0.500 0.000 0.500
P3 0.500 0.500 0.000
H1 0.500 0.500 0.500
```


No. 8
Al3HPb: PBEsol geometry, SCAN.

VASP energy: -20.17 eV per atom

CIF file:
```
data_Al3HPb
_chemical_formula_sum 'Al3 H1 Pb1'
_space_group_name_H-M_alt 'P 1'
_space_group_IT_number 1
_cell_length_a 4.380
_cell_length_b 4.380
_cell_length_c 4.380
_cell_angle_alpha 90.00
_cell_angle_beta 90.00
_cell_angle_gamma 90.00
loop_
_space_group_symop_operation_xyz
'x,y,z'
loop_
_atom_site_label
_atom_site_fract_x
_atom_site_fract_y
_atom_site_fract_z
Al1 0.000 0.000 0.500
Al2 0.000 0.500 0.000
Al3 0.500 0.000 0.000
H1 0.000 0.000 0.000
Pb1 0.500 0.500 0.500
```


No. 9
Al2HPd: PBEsol geometry, SCAN.

VASP energy: -13.03 eV per atom

CIF file:
```
data_Al2HPd
_chemical_formula_sum 'Al2 H1 Pd1'
_space_group_name_H-M_alt 'P 1'
_space_group_IT_number 1
_cell_length_a 4.170
_cell_length_b 4.170
_cell_length_c 4.170
_cell_angle_alpha 60.00
_cell_angle_beta 60.00
_cell_angle_gamma 60.00
loop_
_space_group_symop_operation_xyz
'x,y,z'
loop_
_atom_site_label
_atom_site_fract_x
_atom_site_fract_y
_atom_site_fract_z
Al1 0.250 0.250 0.250
Al2 0.750 0.750 0.750
H1 0.000 0.000 0.000
Pd1 0.500 0.500 0.500
```


No. 10
AlH2Pd2: PBEsol geometry, SCAN.

VASP energy: -16.35 eV per atom

CIF file:
```
data_AlH2Pd2
_chemical_formula_sum 'Al2 H4 Pd4'
_space_group_name_H-M_alt 'P 1'
_space_group_IT_number 1
_cell_length_a 5.468
_cell_length_b 5.468
_cell_length_c 3.458
_cell_angle_alpha 90.00
_cell_angle_beta 90.00
_cell_angle_gamma 90.00
loop_
_space_group_symop_operation_xyz
'x,y,z'
loop_
_atom_site_label
_atom_site_fract_x
_atom_site_fract_y
_atom_site_fract_z
Al1 0.000 0.000 0.000
Al2 0.500 0.500 0.000
H1 0.149 0.351 0.000
H2 0.351 0.851 0.000
H3 0.649 0.149 0.000
H4 0.851 0.649 0.000
Pd1 0.180 0.320 0.500
Pd2 0.320 0.820 0.500
Pd3 0.680 0.180 0.500
Pd4 0.820 0.680 0.500
```


No. 11
AlH2Pt2: PBEsol geometry, SCAN.

VASP energy: -31.30 eV per atom

CIF file:
```
data_AlH2Pt2
_chemical_formula_sum 'Al1 H2 Pt2'
_space_group_name_H-M_alt 'P 1'
_space_group_IT_number 1
_cell_length_a 5.474
_cell_length_b 5.474
_cell_length_c 5.474
_cell_angle_alpha 146.05
_cell_angle_beta 146.05
_cell_angle_gamma 48.77
loop_
_space_group_symop_operation_xyz
'x,y,z'
loop_
_atom_site_label
_atom_site_fract_x
_atom_site_fract_y
_atom_site_fract_z
Al1 0.000 0.000 0.000
H1 0.250 0.750 0.500
H2 0.750 0.250 0.500
Pt1 0.362 0.362 0.000
Pt2 0.638 0.638 0.000
```


No. 12
AlHPt2: PBEsol geometry, SCAN.

VASP energy: -38.43 eV per atom

CIF file:
```
data_AlHPt2
_chemical_formula_sum 'Al2 H2 Pt4'
_space_group_name_H-M_alt 'P 1'
_space_group_IT_number 1
_cell_length_a 5.001
_cell_length_b 5.001
_cell_length_c 5.001
_cell_angle_alpha 106.28
_cell_angle_beta 106.28
_cell_angle_gamma 116.07
loop_
_space_group_symop_operation_xyz
'x,y,z'
loop_
_atom_site_label
_atom_site_fract_x
_atom_site_fract_y
_atom_site_fract_z
Al1 0.000 0.000 0.000
Al2 0.750 0.250 0.500
H1 0.250 0.750 0.500
H2 0.500 0.500 0.000
Pt1 0.216 0.125 0.591
Pt2 0.375 0.784 0.909
Pt3 0.534 0.625 0.409
Pt4 0.875 0.466 0.091
```


No. 13
Rb2AlH2: PBEsol geometry, SCAN.

VASP energy: -10.97 eV per atom

CIF file:
```
data_Rb2AlH2
_chemical_formula_sum 'Rb4 Al2 H4'
_space_group_name_H-M_alt 'P 1'
_space_group_IT_number 1
_cell_length_a 7.667
_cell_length_b 7.667
_cell_length_c 3.871
_cell_angle_alpha 90.00
_cell_angle_beta 90.00
_cell_angle_gamma 90.00
loop_
_space_group_symop_operation_xyz
'x,y,z'
loop_
_atom_site_label
_atom_site_fract_x
_atom_site_fract_y
_atom_site_fract_z
Rb1 0.151 0.349 0.000
Rb2 0.349 0.849 0.000
Rb3 0.651 0.151 0.000
Rb4 0.849 0.651 0.000
Al1 0.000 0.000 0.500
Al2 0.500 0.500 0.500
H1 0.164 0.664 0.500
H2 0.336 0.164 0.500
H3 0.664 0.836 0.500
H4 0.836 0.336 0.500
```


No. 14
AlReH3: PBEsol geometry, SCAN.

VASP energy: -17.42 eV per atom

CIF file:
```
data_AlReH3
_chemical_formula_sum 'Al1 Re1 H3'
_space_group_name_H-M_alt 'P 1'
_space_group_IT_number 1
_cell_length_a 3.449
_cell_length_b 3.449
_cell_length_c 3.449
_cell_angle_alpha 90.00
_cell_angle_beta 90.00
_cell_angle_gamma 90.00
loop_
_space_group_symop_operation_xyz
'x,y,z'
loop_
_atom_site_label
_atom_site_fract_x
_atom_site_fract_y
_atom_site_fract_z
Al1 0.000 0.000 0.000
Re1 0.500 0.500 0.500
H1 0.000 0.500 0.500
H2 0.500 0.000 0.500
H3 0.500 0.500 0.000
```


No. 15
AlReH2: PBEsol geometry, SCAN.

VASP energy: -20.53 eV per atom

CIF file:
```
data_AlReH2
_chemical_formula_sum 'Al1 Re1 H2'
_space_group_name_H-M_alt 'P 1'
_space_group_IT_number 1
_cell_length_a 3.680
_cell_length_b 3.680
_cell_length_c 3.680
_cell_angle_alpha 60.00
_cell_angle_beta 60.00
_cell_angle_gamma 60.00
loop_
_space_group_symop_operation_xyz
'x,y,z'
loop_
_atom_site_label
_atom_site_fract_x
_atom_site_fract_y
_atom_site_fract_z
Al1 0.000 0.000 0.000
Re1 0.500 0.500 0.500
H1 0.250 0.250 0.250
H2 0.750 0.750 0.750
```


No. 16
AlHRh3: PBEsol geometry, SCAN.

VASP energy: -22.99 eV per atom

CIF file:
```
data_AlHRh3
_chemical_formula_sum 'Al1 H1 Rh3'
_space_group_name_H-M_alt 'P 1'
_space_group_IT_number 1
_cell_length_a 3.835
_cell_length_b 3.835
_cell_length_c 3.835
_cell_angle_alpha 90.00
_cell_angle_beta 90.00
_cell_angle_gamma 90.00
loop_
_space_group_symop_operation_xyz
'x,y,z'
loop_
_atom_site_label
_atom_site_fract_x
_atom_site_fract_y
_atom_site_fract_z
Al1 0.000 0.000 0.000
H1 0.500 0.500 0.500
Rh1 0.000 0.500 0.500
Rh2 0.500 0.000 0.500
Rh3 0.500 0.500 0.000
```


No. 17
Al2H2Ru: PBEsol geometry, SCAN.

VASP energy: -11.58 eV per atom

CIF file:
```
data_Al2H2Ru
_chemical_formula_sum 'Al2 H2 Ru1'
_space_group_name_H-M_alt 'P 1'
_space_group_IT_number 1
_cell_length_a 6.325
_cell_length_b 6.325
_cell_length_c 6.325
_cell_angle_alpha 153.85
_cell_angle_beta 153.85
_cell_angle_gamma 37.32
loop_
_space_group_symop_operation_xyz
'x,y,z'
loop_
_atom_site_label
_atom_site_fract_x
_atom_site_fract_y
_atom_site_fract_z
Al1 0.131 0.131 0.000
Al2 0.869 0.869 0.000
H1 0.250 0.750 0.500
H2 0.750 0.250 0.500
Ru1 0.500 0.500 0.000
```


No. 18
AlH3Ru: PBEsol geometry, SCAN.

VASP energy: -10.43 eV per atom

CIF file:
```
data_AlH3Ru
_chemical_formula_sum 'Al1 H3 Ru1'
_space_group_name_H-M_alt 'P 1'
_space_group_IT_number 1
_cell_length_a 3.405
_cell_length_b 3.405
_cell_length_c 3.405
_cell_angle_alpha 90.00
_cell_angle_beta 90.00
_cell_angle_gamma 90.00
loop_
_space_group_symop_operation_xyz
'x,y,z'
loop_
_atom_site_label
_atom_site_fract_x
_atom_site_fract_y
_atom_site_fract_z
Al1 0.000 0.000 0.000
H1 0.000 0.500 0.500
H2 0.500 0.000 0.500
H3 0.500 0.500 0.000
Ru1 0.500 0.500 0.500
```


No. 19
AlTeH2Ru: PBEsol geometry, SCAN.

VASP energy: -16.94 eV per atom

CIF file:
```
data_AlTeH2Ru
_chemical_formula_sum 'Al1 Te1 H2 Ru1'
_space_group_name_H-M_alt 'P 1'
_space_group_IT_number 1
_cell_length_a 3.731
_cell_length_b 3.731
_cell_length_c 5.129
_cell_angle_alpha 90.00
_cell_angle_beta 90.00
_cell_angle_gamma 90.00
loop_
_space_group_symop_operation_xyz
'x,y,z'
loop_
_atom_site_label
_atom_site_fract_x
_atom_site_fract_y
_atom_site_fract_z
Al1 0.000 0.000 0.000
Te1 0.500 0.500 0.000
H1 0.000 0.500 0.500
H2 0.500 0.000 0.500
Ru1 0.500 0.500 0.500
```


No. 20
AlSb3H: PBEsol geometry, SCAN.

VASP energy: -24.05 eV per atom

CIF file:
```
data_AlSb3H
_chemical_formula_sum 'Al1 Sb3 H1'
_space_group_name_H-M_alt 'P 1'
_space_group_IT_number 1
_cell_length_a 4.663
_cell_length_b 4.663
_cell_length_c 4.663
_cell_angle_alpha 90.00
_cell_angle_beta 90.00
_cell_angle_gamma 90.00
loop_
_space_group_symop_operation_xyz
'x,y,z'
loop_
_atom_site_label
_atom_site_fract_x
_atom_site_fract_y
_atom_site_fract_z
Al1 0.000 0.000 0.000
Sb1 0.000 0.500 0.500
Sb2 0.500 0.000 0.500
Sb3 0.500 0.500 0.000
H1 0.500 0.500 0.500
```